(1)
The following is a PBE calculation of a relaxed YRe2Sb crystal, from Alexandria.

E_tot: -8.322 eV per atom
Energy relative to the elements, uncorrected: 548 meV per atom
Space-group type: No. 216

Cell and atoms, written as POSCAR:
```
YRe2Sb
1.0
4.7592 0.0000 0.0000
2.3796 4.1216 0.0000
2.3796 1.3739 3.8859
Re Sb Y
2 1 1
direct
0.0000 0.0000 0.0000
0.2500 0.2500 0.2500
0.5000 0.5000 0.5000
0.7500 0.7500 0.7500
```

(2)
The following is a PBE calculation of a relaxed Hf7Te2Se2 crystal, from Alexandria.

E_tot: -8.038 eV per atom
Energy relative to the elements, uncorrected: -499 meV per atom
Space-group type: No. 12

Cell and atoms, written as POSCAR:
```
Hf7Te2Se2
1.0
7.1428 -0.1771 -0.2555
-0.9079 6.3955 -0.0926
-0.9079 -2.3326 5.9556
Hf Te Se
7 2 2
direct
0.1732 0.9114 0.4427
0.8268 0.5573 0.0886
0.8268 0.0886 0.5573
0.1732 0.4427 0.9114
0.0000 0.0000 0.0000
0.8433 0.6013 0.6013
0.1567 0.3987 0.3987
0.5000 0.3159 0.6841
0.5000 0.6841 0.3159
0.7420 0.2063 0.2063
0.2580 0.7937 0.7937
```

(3)
The following is a PBE calculation of a relaxed MoRhCl2 crystal, from Alexandria.

E_tot: -5.031 eV per atom
Energy relative to the elements, uncorrected: 438 meV per atom
Space-group type: No. 10

Cell and atoms, written as POSCAR:
```
MoRhCl2
1.0
4.1814 0.0000 0.0000
0.0000 2.9971 -0.0026
0.0000 -0.4383 5.2124
Mo Rh Cl
1 1 2
direct
0.5000 0.2500 0.2500
0.5000 0.7500 0.7500
0.0000 0.0354 0.0056
0.0000 0.4646 0.4944
```

(4)
The following is a PBE calculation of a relaxed SmGd4Th crystal, from Alexandria.

E_tot: -11.109 eV per atom
Energy relative to the elements: 0.3014 eV/atom
Space-group type: No. 216

Cell and atoms, written as POSCAR:
```
SmGd4Th
1.0
6.5785 0.0000 0.0000
3.2893 5.6972 0.0000
3.2893 1.8991 5.3713
Gd Sm Th
4 1 1
direct
0.6245 0.6245 0.1264
0.6245 0.1264 0.6245
0.6245 0.6245 0.6245
0.1264 0.6245 0.6245
0.0000 0.0000 0.0000
0.2500 0.2500 0.2500
```

(5)
The following is a PBE calculation of a relaxed SnSeN2O crystal, from Alexandria.

E_tot: -4.079 eV per atom
Energy relative to the elements, uncorrected: 1740 meV per atom
Space-group type: No. 123

Cell and atoms, written as POSCAR:
```
SnSeN2O
1.0
4.0677 0.0000 0.0000
0.0000 4.0677 0.0000
0.0000 0.0000 3.9453
O Sn Se N
1 1 1 2
direct
0.0000 0.0000 0.0000
0.5000 0.5000 0.5000
0.0000 0.0000 0.5000
0.0000 0.5000 0.0000
0.5000 0.0000 0.0000
```

(6)
The following is a PBE calculation of a relaxed KWN2 crystal, from Alexandria.

E_tot: -6.082 eV per atom
Energy relative to the elements, uncorrected: 1593 meV per atom
Space-group type: No. 225

Cell and atoms, written as POSCAR:
```
KWN2
1.0
0.0000 2.8381 2.8381
2.8381 0.0000 2.8381
2.8381 2.8381 0.0000
K W N
1 1 2
direct
0.0000 0.0000 0.0000
0.5000 0.5000 0.5000
0.2500 0.2500 0.2500
0.7500 0.7500 0.7500
```

(7)
The following is a PBE calculation of a relaxed Zn2Cd2Ag3 crystal, from Alexandria.

E_tot: -1.857 eV per atom
Energy relative to the elements: -0.0096 eV/atom
Space-group type: No. 2

Cell and atoms, written as POSCAR:
```
Zn2Cd2Ag3
1.0
2.9883 -0.0283 -0.0320
-1.5044 6.1935 -0.6951
0.0210 -1.6005 7.0367
Zn Cd Ag
2 2 3
direct
0.5855 0.1729 0.7567
0.4145 0.8271 0.2433
0.8710 0.7477 0.5667
0.1290 0.2523 0.4333
0.0000 0.0000 0.0000
0.7174 0.4339 0.1534
0.2826 0.5661 0.8466
```

(8)
The following is a PBE calculation of a relaxed Ni2PPt crystal, from Alexandria.

E_tot: -5.969 eV per atom
Energy relative to the elements: -0.2159 eV/atom
Space-group type: No. 123

Cell and atoms, written as POSCAR:
```
Ni2PPt
1.0
-0.2942 -1.7132 2.2008
2.6916 -0.7542 -0.2273
1.6253 4.6456 3.8337
Ni P Pt
2 1 1
direct
0.0000 0.0000 0.7945
0.0000 0.0000 0.2055
0.5000 0.5000 0.0000
0.5000 0.5000 0.5000
```

(9)
The following is a PBE calculation of a relaxed CsTeSeN2 crystal, from Alexandria.

E_tot: -3.350 eV per atom
Energy relative to the elements, uncorrected: 1476 meV per atom
Space-group type: No. 123

Cell and atoms, written as POSCAR:
```
CsTeSeN2
1.0
-3.9258 2.9378 0.4174
-0.8351 -0.4297 -4.8306
-3.1349 -4.3208 0.9263
Cs Te Se N
1 1 1 2
direct
0.5000 0.5000 0.5000
0.0000 0.0000 0.5000
0.0000 0.0000 0.0000
0.0000 0.5000 0.0000
0.5000 0.0000 0.0000
```

(10)
The following is a PBE calculation of a relaxed TeAu2Cl2 crystal, from Alexandria.

E_tot: -2.321 eV per atom
Energy relative to the elements, uncorrected: 357 meV per atom
Space-group type: No. 139

Cell and atoms, written as POSCAR:
```
TeAu2Cl2
1.0
-3.7832 -1.9115 -1.1121
1.7730 -3.9388 0.7386
-2.8255 -2.6667 5.5617
Te Au Cl
1 2 2
direct
0.0000 0.0000 0.0000
0.3897 0.3897 0.2207
0.6103 0.6103 0.7793
0.7500 0.2500 0.5000
0.2500 0.7500 0.5000
```

(11)
The following is a PBE calculation of a relaxed H2Ru2Pb crystal, from Alexandria.

E_tot: -5.444 eV per atom
Space-group type: No. 139

Cell and atoms, written as POSCAR:
```
H2Ru2Pb
1.0
-1.5154 1.1525 -2.6038
0.4790 -2.8044 -1.5200
-5.2878 -2.6965 -0.1140
Pb Ru H
1 2 2
direct
0.0000 0.0000 0.0000
0.3456 0.3456 0.3088
0.6544 0.6544 0.6912
0.7500 0.2500 0.5000
0.2500 0.7500 0.5000
```

(12)
The following is a PBE calculation of a relaxed Pr2TeH2Se crystal, from Alexandria.

E_tot: -5.119 eV per atom
Space-group type: No. 164

Cell and atoms, written as POSCAR:
```
Pr2TeH2Se
1.0
-3.5643 -1.3061 1.5740
2.2429 -2.5042 -2.3634
4.0399 -2.8128 6.8143
Pr Te H Se
2 1 2 1
direct
0.3333 0.6667 0.7357
0.6667 0.3333 0.2643
0.0000 0.0000 0.0000
0.3333 0.6667 0.2580
0.6667 0.3333 0.7420
0.0000 0.0000 0.5000
```

Question: E_tot of number 2 (Hf7Te2Se2)?
Answer: -8.038 eV per atom

Question: Among the records above, which one has the highest E_tot?
Answer: Zn2Cd2Ag3

Question: Which of these has the highest E_tot?
Answer: Zn2Cd2Ag3